A plane-wave DFT calculation with PBE was carried out for an optimized crystal structure of AuN2F.

Unit cell a=3.7993 b=3.7993 c=3.7993 alpha=60.00 beta=60.00 gamma=60.00
Last column: nearest neighbours and their distance in Å.
Fractional coordinates of all 4 atoms:
N1 0.2500 0.2500 0.2500  4 Au 2.33, 4 F 2.33
N2 0.7500 0.7500 0.7500  4 F 2.33, 4 Au 2.33
F1 0.0000 0.0000 0.0000  8 N 2.33
Au1 0.5000 0.5000 0.5000  8 N 2.33

- N(E_F): 0.353 states/eV/atom
- E above lowest polymorph: 8.49 eV/f.u.
- Space group: Fm-3m
- Formation energy without anion corrections: 1.876 eV per atom

A plane-wave DFT calculation with PBE was carried out for an optimized crystal structure of HfNpFeOs.

Unit cell a=4.6436 b=4.6436 c=4.6436 alpha=60.00 beta=60.00 gamma=60.00
Last column: nearest neighbours and their distance in Å.
Fractional coordinates of all 4 atoms:
Fe1 0.2500 0.2500 0.2500  4 Hf 2.84, 4 Np 2.84
Np1 0.0000 0.0000 0.0000  4 Fe 2.84, 4 Os 2.84
Hf1 0.5000 0.5000 0.5000  4 Fe 2.84, 4 Os 2.84
Os1 0.7500 0.7500 0.7500  4 Hf 2.84, 4 Np 2.84

- N(E_F): 0.736 states/eV/atom
- E_form: -0.089 eV per atom
- Space group: F-43m

A plane-wave DFT calculation with PBE was carried out for an optimized crystal structure of La2DyAl.

Unit cell a=5.4041 b=7.0977 c=7.0977 alpha=119.94 beta=90.00 gamma=90.00
Last column: nearest neighbours and their distance in Å.
Fractional coordinates of all 8 atoms:
La1 0.0000 0.8254 0.6412  4 La 3.23-3.45, 4 Al 3.29-3.58, 2 Dy 3.51
La2 0.5000 0.1749 0.8251  2 Dy 3.33, 4 Al 3.38-3.55, 4 La 3.45
La3 0.0000 0.3588 0.1746  4 La 3.23-3.45, 4 Al 3.29-3.58, 2 Dy 3.51
La4 0.0000 0.8172 0.1828  2 La 3.23, 4 Al 3.30-3.56, 4 Dy 3.49
Dy1 0.5000 0.6434 0.8227  4 Al 3.29-3.58, 1 Dy 3.31, 5 La 3.33-3.51
Dy2 0.5000 0.1773 0.3566  4 Al 3.29-3.58, 1 Dy 3.31, 5 La 3.33-3.51
Al1 0.5000 0.6636 0.3364  8 La 3.29-3.55, 4 Dy 3.53-3.58
Al2 0.0000 0.3395 0.6605  4 Dy 3.29, 8 La 3.38-3.58

- N(E_F): 1.208 states/eV/atom
- E above lowest polymorph: 0.01 eV/f.u.
- E_form: -0.181 eV per atom
- Space group: Amm2

A plane-wave DFT calculation with PBE was carried out for an optimized crystal structure of Ca2Pr3Hg2.

Unit cell a=4.0294 b=7.0438 c=9.4965 alpha=113.18 beta=90.00 gamma=106.62
Last column: nearest neighbours and their distance in Å.
Fractional coordinates of all 7 atoms:
Hg1 0.1762 0.3525 0.2190  5 Pr 3.16-3.29, 2 Ca 3.22
Hg2 0.8238 0.6475 0.7810  5 Pr 3.16-3.29, 2 Ca 3.22
Ca1 0.1476 0.2953 0.8118  2 Hg 3.22
Ca2 0.8524 0.7047 0.1882  2 Hg 3.22
Pr1 0.3848 0.7695 0.5545  3 Hg 3.27-3.29, 1 Pr 3.66
Pr2 0.6152 0.2305 0.4455  3 Hg 3.27-3.29, 1 Pr 3.66
Pr3 0.5000 0.0000 0.0000  4 Hg 3.16

- N(E_F): 1.431 states/eV/atom
- E_form: -0.241 eV per atom
- Space group: C2/m